1.
A geometry-optimized Sc2MoRu structure, computed with PBE.

Final energy in eV per atom: -8.21
Density in Mg/m³: 6.86
Space group: C2/m
Volume in A^3/atom: 17.4
Polymorph energy (0 for the lowest one) in eV/atom: 0.167
Total moment in μB per atom: 0.000

POSCAR file:
```
Sc2MoRu
1.0
5.2262 -0.0121 0.0062
-1.9632 4.8434 0.0062
0.6297 0.9324 2.7470
Ru Sc Mo
1 2 1
direct
0.0000 0.5000 0.5000
0.5000 0.5000 0.0000
0.0000 0.0000 0.0000
0.5000 0.0000 0.5000
```

2.
A geometry-optimized Sc2MoRu2 structure, computed with PBE.

Final energy in eV per atom: -8.61
Density in Mg/m³: 7.09
Space group: P4/mbm
Volume in A^3/atom: 18.2
Total moment in μB per atom: 0.000

POSCAR file:
```
Sc2MoRu2
1.0
6.4880 0.0000 0.0000
0.0000 6.4880 0.0000
0.0000 0.0000 4.3192
Mo Ru Sc
2 4 4
direct
0.0000 0.0000 0.0000
0.5000 0.5000 0.0000
0.3592 0.8592 0.0000
0.1408 0.3592 0.0000
0.8592 0.6408 0.0000
0.6408 0.1408 0.0000
0.8234 0.3234 0.5000
0.1766 0.6766 0.5000
0.3234 0.1766 0.5000
0.6766 0.8234 0.5000
```

3.
A geometry-optimized ScMoRu2 structure, computed with PBE.

Final energy in eV per atom: -8.86
Density in Mg/m³: 9.12
Space group: F-43m
Volume in A^3/atom: 15.6
Total moment in μB per atom: 0.271

POSCAR file:
```
ScMoRu2
1.0
4.4536 0.0000 0.0000
2.2268 3.8570 0.0000
2.2268 1.2857 3.6364
Ru Sc Mo
2 1 1
direct
0.7500 0.7500 0.7500
0.0000 0.0000 0.0000
0.2500 0.2500 0.2500
0.5000 0.5000 0.5000
```

4.
A geometry-optimized ScMoRu3 structure, computed with PBE.

Final energy in eV per atom: -8.09
Density in Mg/m³: 7.40
Space group: Pm-3m
Volume in A^3/atom: 19.9
Polymorph energy (0 for the lowest one) in eV/atom: 0.000
Total moment in μB per atom: 0.000

POSCAR file:
```
ScMoRu3
1.0
4.6363 0.0000 0.0000
0.0000 4.6363 0.0000
0.0000 0.0000 4.6363
Ru Sc Mo
3 1 1
direct
0.5000 0.0000 0.0000
0.0000 0.0000 0.5000
0.0000 0.5000 0.0000
0.5000 0.5000 0.5000
0.0000 0.0000 0.0000
```

5.
A geometry-optimized Sc2MoRu structure, computed with PBE.

Final energy in eV per atom: -8.24
Density in Mg/m³: 6.85
Space group: P4/mmm
Volume in A^3/atom: 17.4
Polymorph energy (0 for the lowest one) in eV/atom: 0.140
Total moment in μB per atom: 0.000

POSCAR file:
```
Sc2MoRu
1.0
4.6550 0.0158 0.0000
-0.0140 4.6550 0.0000
0.0000 0.0000 3.2098
Sc Ru Mo
2 1 1
direct
0.0000 0.0000 0.0000
0.5000 0.5000 0.0000
0.0000 0.5000 0.5000
0.5000 0.0000 0.5000
```

6.
A geometry-optimized Sc2MoRu structure, computed with PBE.

Final energy in eV per atom: -8.12
Density in Mg/m³: 6.67
Space group: R-3m
Volume in A^3/atom: 17.8
Polymorph energy (0 for the lowest one) in eV/atom: 0.263
Total moment in μB per atom: 0.077

POSCAR file:
```
Sc2MoRu
1.0
-3.6047 1.9995 -7.9122
-2.9965 -0.9787 -8.3462
-5.5951 -0.1304 -6.9479
Sc Mo Ru
2 1 1
direct
0.4940 0.4940 0.4940
0.0060 0.0060 0.0060
0.2500 0.2500 0.2500
0.7500 0.7500 0.7500
```

7.
A geometry-optimized Sc2MoRu structure, computed with PBE.

Final energy in eV per atom: -8.06
Density in Mg/m³: 6.34
Space group: R3m
Volume in A^3/atom: 18.8
Polymorph energy (0 for the lowest one) in eV/atom: 0.324
Total moment in μB per atom: 0.000

POSCAR file:
```
Sc2MoRu
1.0
-0.8714 1.7379 -9.2443
-1.5838 -1.2366 -9.2304
-3.7354 0.8541 -8.6345
Mo Ru Sc
1 1 2
direct
0.4916 0.4916 0.4916
0.7554 0.7554 0.7554
0.2406 0.2406 0.2406
0.0124 0.0124 0.0124
```

8.
A geometry-optimized Sc2MoRu structure, computed with PBE.

Final energy in eV per atom: -8.23
Density in Mg/m³: 6.88
Space group: Pmmm
Volume in A^3/atom: 17.3
Polymorph energy (0 for the lowest one) in eV/atom: 0.154
Total moment in μB per atom: 0.000

POSCAR file:
```
Sc2MoRu
1.0
-0.9277 -2.6342 -1.6354
4.1300 -2.2830 1.3347
-1.9916 -1.5154 3.5705
Sc Ru Mo
2 1 1
direct
0.5000 0.5000 0.0000
0.0000 0.0000 0.0000
0.0000 0.5000 0.5000
0.5000 0.0000 0.5000
```

9.
A geometry-optimized Sc2MoRu structure, computed with PBE.

Final energy in eV per atom: -8.22
Density in Mg/m³: 6.85
Space group: P2/m
Volume in A^3/atom: 17.4
Polymorph energy (0 for the lowest one) in eV/atom: 0.156
Total moment in μB per atom: 0.000

POSCAR file:
```
Sc2MoRu
1.0
-0.7563 3.6566 -2.1968
-2.0803 -1.3802 -1.5812
-4.3529 1.0240 3.2030
Sc Ru Mo
2 1 1
direct
0.0000 0.5260 0.5057
0.0000 0.9740 0.9943
0.5000 0.7500 0.7500
0.5000 0.2500 0.2500
```

10.
A geometry-optimized ScMoRu2 structure, computed with PBE.

Final energy in eV per atom: -8.93
Density in Mg/m³: 8.79
Space group: Pmm2
Volume in A^3/atom: 16.2
Total moment in μB per atom: 0.000

POSCAR file:
```
ScMoRu2
1.0
2.8997 0.0000 0.0000
0.0000 4.3020 0.0000
0.0000 0.0000 5.1955
Sc Ru Mo
1 2 1
direct
0.0000 0.0000 0.4573
0.0000 0.0000 0.9548
0.5000 0.5000 0.3096
0.5000 0.5000 0.7783
```

11.
A geometry-optimized Sc2MoRu structure, computed with PBE.

Final energy in eV per atom: -8.31
Density in Mg/m³: 6.77
Space group: P4/mmm
Volume in A^3/atom: 17.6
Polymorph energy (0 for the lowest one) in eV/atom: 0.073
Total moment in μB per atom: 0.000

POSCAR file:
```
Sc2MoRu
1.0
-1.8819 -2.5091 -0.2407
2.5080 -1.8339 -0.4918
0.5697 -1.0991 7.0030
Sc Ru Mo
2 1 1
direct
0.0000 0.0000 0.5259
0.0000 0.0000 0.9741
0.5000 0.5000 0.7500
0.5000 0.5000 0.2500
```

12.
A geometry-optimized ScMoRu2 structure, computed with PBE.

Final energy in eV per atom: -9.03
Density in Mg/m³: 9.05
Space group: Imm2
Volume in A^3/atom: 15.7
Total moment in μB per atom: 0.000

POSCAR file:
```
ScMoRu2
1.0
5.3223 0.0034 -0.0010
2.5953 4.6466 0.0010
-3.5169 -3.0774 2.5470
Ru Sc Mo
2 1 1
direct
0.7476 0.2476 0.5000
0.0094 0.0094 0.0000
0.4997 0.4997 0.0000
0.2433 0.7433 0.5000
```